Compound: TbCeNd2Ho5
Source: the Alexandria database
Functional: PBE
Structure: optimized geometry

## Properties
Energy relative to the elements: 0.2706 eV per atom
D(E_F): 15.17 states/eV/f.u.
Electronic total energy: -4.5060 eV/atom

Cell: 8.5882 8.5882 15.6210 Å, 90.00 90.00 90.00°
Space group I4/mcm (No. 140)
Inequivalent atoms, fractional coordinates:
Tb  0.0000  0.0000  0.2500 x4
Ce  0.0000  0.5000  0.2500 x4
Nd  0.1205  0.3795  0.0000 x8
Ho  0.0000  0.0000  0.0000 x4
Ho  0.2047  0.2953  0.3590 x16

Compound: Tb6Ce2NdHo3
Source: the Alexandria database
Functional: PBE
Structure: optimized geometry

## Properties
Energy relative to the elements: 0.0507 eV per atom
D(E_F): 22.51 states/eV/f.u.
Electronic total energy: -4.7952 eV/atom

Cell: 6.1528 10.6588 11.7840 Å, 90.00 100.04 90.00°
Space group C2/m (No. 12)
Inequivalent atoms, fractional coordinates:
Tb  0.2480  0.0000  0.2508 x4
Tb  0.2477  0.1681  0.7492 x8
Ce  0.0000  0.1667  0.0000 x4
Nd  0.0000  0.5000  0.0000 x2
Ho  0.0000  0.0000  0.5000 x2
Ho  0.0000  0.3337  0.5000 x4

Repeat the second record exactly.
Compound: Tb6Ce2NdHo3
Source: the Alexandria database
Functional: PBE
Structure: optimized geometry

## Properties
Energy relative to the elements: 0.0507 eV per atom
D(E_F): 22.51 states/eV/f.u.
Electronic total energy: -4.7952 eV/atom

Cell: 6.1528 10.6588 11.7840 Å, 90.00 100.04 90.00°
Space group C2/m (No. 12)
Inequivalent atoms, fractional coordinates:
Tb  0.2480  0.0000  0.2508 x4
Tb  0.2477  0.1681  0.7492 x8
Ce  0.0000  0.1667  0.0000 x4
Nd  0.0000  0.5000  0.0000 x2
Ho  0.0000  0.0000  0.5000 x2
Ho  0.0000  0.3337  0.5000 x4

The lowest energy relative to the elements belongs to which entry? Tb6Ce2NdHo3